A geometry-optimized Pm2HgP structure, computed with PBE.

Cell: 4.060 4.060 23.309 Å, 90.00 90.00 120.00°
Element x y z (fractional)
1 Pm 0.000 0.000 0.000
2 Pm 0.000 0.000 0.195
3 Pm 0.333 0.667 0.667
4 Pm 0.333 0.667 0.862
5 Pm 0.667 0.333 0.333
6 Pm 0.667 0.333 0.529
7 Hg 0.000 0.000 0.765
8 Hg 0.333 0.667 0.431
9 Hg 0.667 0.333 0.098
10 P 0.000 0.000 0.597
11 P 0.333 0.667 0.264
12 P 0.667 0.333 0.930

Properties
mass density: 7.81 g/cm3
energy above the lowest structure with this stoichiometry: 29 meV/atom
total moment: 0.0 Bohr magnetons per cell
crystal system: trigonal